{
  "formula": "FeOsI2N",
  "functional": "PBE",
  "state": "relaxed",
  "formation_energy_uncorrected_ev_per_atom": 0.867,
  "relative_energy_kj_per_mol_atoms": 0.0,
  "lattice": [[5.554, 0.000, 0.000], [0.000, 5.554, 0.000], [0.000, 0.000, 3.723]],
  "species": ["Fe", "Os", "I", "I", "N"],
  "fractional_positions": [[0.000, 0.000, 0.000], [0.500, 0.500, 0.500], [0.000, 0.500, 0.500], [0.500, 0.000, 0.500], [0.500, 0.500, 0.000]]
}